{"formula": "Ce2HoGe", "functional": "PBE-GGA", "state": "optimized geometry", "formation_energy_ev_per_atom": -0.460, "crystal_system": "monoclinic", "volume_a3_per_atom": 24.902, "relative_energy_mev_per_atom": 0, "sg": "No. 11", "dft_energy_ev_per_cell": -45.81, "lattice": [[4.284, 0.000, 0.000], [0.000, 4.249, 0.000], [-2.056, 0.000, 10.944]], "species": ["Ce", "Ce", "Ce", "Ce", "Ho", "Ho", "Ge", "Ge"], "frac_coords": [[0.018, 0.250, 0.127], [0.401, 0.250, 0.878], [0.599, 0.750, 0.122], [0.982, 0.750, 0.873], [0.303, 0.750, 0.605], [0.697, 0.250, 0.395], [0.176, 0.750, 0.336], [0.824, 0.250, 0.664]]}

{"formula": "CeHo4Ge4", "functional": "PBE-GGA", "state": "optimized geometry", "formation_energy_ev_per_atom": -0.596, "crystal_system": "tetragonal", "volume_a3_per_atom": 27.627, "sg": "No. 87", "dft_energy_ev_per_cell": -48.08, "lattice": [[-4.638, 4.638, 2.890], [4.638, -4.638, 2.890], [4.638, 4.638, -2.890]], "species": ["Ce", "Ho", "Ho", "Ho", "Ho", "Ge", "Ge", "Ge", "Ge"], "frac_coords": [[0.000, 0.000, 0.000], [0.190, 0.602, 0.792], [0.398, 0.190, 0.587], [0.602, 0.810, 0.413], [0.810, 0.398, 0.208], [0.106, 0.296, 0.402], [0.296, 0.894, 0.190], [0.704, 0.106, 0.810], [0.894, 0.704, 0.598]]}

{"formula": "CeHo2Ge3", "functional": "PBE-GGA", "state": "optimized geometry", "formation_energy_ev_per_atom": -0.650, "crystal_system": "orthorhombic", "volume_a3_per_atom": 25.530, "sg": "No. 71", "dft_energy_ev_per_cell": -32.84, "lattice": [[-2.080, 2.946, 6.250], [2.080, -2.946, 6.250], [2.080, 2.946, -6.250]], "species": ["Ce", "Ho", "Ho", "Ge", "Ge", "Ge"], "frac_coords": [[0.000, 0.000, 0.000], [0.333, 0.333, 0.000], [0.667, 0.667, 0.000], [0.166, 0.666, 0.500], [0.500, 0.000, 0.500], [0.834, 0.334, 0.500]]}

{"formula": "Ce2HoGe2", "functional": "PBE-GGA", "state": "optimized geometry", "formation_energy_ev_per_atom": -0.726, "crystal_system": "tetragonal", "volume_a3_per_atom": 25.446, "relative_energy_mev_per_atom": 0, "sg": "No. 127", "dft_energy_ev_per_cell": -58.62, "lattice": [[7.928, 0.000, 0.000], [0.000, 7.928, 0.000], [0.000, 0.000, 4.048]], "species": ["Ce", "Ce", "Ce", "Ce", "Ho", "Ho", "Ge", "Ge", "Ge", "Ge"], "frac_coords": [[0.128, 0.372, 0.000], [0.372, 0.872, 0.000], [0.628, 0.128, 0.000], [0.872, 0.628, 0.000], [0.000, 0.000, 0.500], [0.500, 0.500, 0.500], [0.167, 0.667, 0.500], [0.333, 0.167, 0.500], [0.667, 0.833, 0.500], [0.833, 0.333, 0.500]]}

{"formula": "Ce2HoGe3Ir4", "functional": "PBE-GGA", "state": "optimized geometry", "formation_energy_ev_per_atom": -0.784, "crystal_system": "tetragonal", "volume_a3_per_atom": 19.613, "sg": "No. 115", "dft_energy_ev_per_cell": -73.58, "lattice": [[4.159, 0.000, 0.000], [0.000, 4.159, 0.000], [0.000, 0.000, 11.337]], "species": ["Ce", "Ce", "Ho", "Ge", "Ge", "Ge", "Ir", "Ir", "Ir", "Ir"], "frac_coords": [[0.000, 0.500, 0.232], [0.500, 0.000, 0.768], [0.000, 0.000, 0.500], [0.000, 0.500, 0.878], [0.500, 0.000, 0.122], [0.500, 0.500, 0.500], [0.000, 0.000, 0.000], [0.000, 0.500, 0.662], [0.500, 0.000, 0.338], [0.500, 0.500, 0.000]]}

{"formula": "CeHoGeIr", "functional": "PBE-GGA", "state": "optimized geometry", "formation_energy_ev_per_atom": -0.812, "crystal_system": "orthorhombic", "volume_a3_per_atom": 22.606, "sg": "No. 38", "dft_energy_ev_per_cell": -27.24, "lattice": [[4.332, 0.000, 0.000], [0.000, 2.051, 5.088], [0.000, -2.051, 5.088]], "species": ["Ce", "Ho", "Ge", "Ir"], "frac_coords": [[0.000, 0.000, 0.000], [0.500, 0.717, 0.717], [0.500, 0.429, 0.429], [0.000, 0.271, 0.271]]}